18
Lattice="5.1762 0.0000 0.0000 0.0000 5.1762 0.0000 0.0000 0.0000 10.3948" Properties=species:S:1:pos:R:3 comment="PBE AcCeTiO6, relaxed" e_form_raw_ev_per_atom=-2.9006 final_energy_ev_per_cell=-147.58 pbc="T T T"
Ac 0.0000 0.0000 0.0000
Ac 2.5881 2.5881 5.1974
Ce 0.0000 0.0000 6.8914
Ce 2.5881 2.5881 1.6941
Ti 0.0000 0.0000 3.4802
Ti 2.5881 2.5881 8.6775
O 0.8817 0.8817 5.0163
O 1.0013 1.0013 2.0454
O 1.1860 1.1860 8.4442
O 1.4021 3.7741 3.2468
O 1.5868 3.5894 7.2427
O 1.7064 3.4698 10.2137
O 3.4698 1.7064 10.2137
O 3.5894 1.5868 7.2427
O 3.7741 1.4021 3.2468
O 3.9902 3.9902 8.4442
O 4.1749 4.1749 2.0454
O 4.2945 4.2945 5.0163